(1)
Compound: BaAlIrOs2
Source: Alexandria
Functional: PBE
Structure: relaxed

Calculated values
The density of states at the Fermi level is 1.232 states/eV per atom.

Cell lengths 4.9480, 4.9480, 5.1118 Å; angles 90.00, 90.00, 90.00 degrees
Space group P4/mmm (No. 123)
Symmetry-distinct sites (fractional):
Ba (0.0000, 0.0000, 0.0000)
Al (0.0000, 0.0000, 0.5000)
Ir (0.5000, 0.5000, 0.5000)
Os (0.0000, 0.5000, 0.0000)

---

(2)
Compound: BaAlIrOs2
Source: Alexandria
Functional: PBE
Structure: relaxed

Calculated values
The density of states at the Fermi level is 1.053 states/eV per atom.

Cell lengths 4.6957, 4.6957, 4.7100 Å; angles 90.00, 90.00, 90.00 degrees
Space group P4/mmm (No. 123)
Symmetry-distinct sites (fractional):
Ba (0.0000, 0.0000, 0.0000)
Al (0.5000, 0.5000, 0.5000)
Ir (0.5000, 0.5000, 0.0000)
Os (0.0000, 0.5000, 0.5000)

---

Taking the most stable structure as the zero point, the relative energies in meV per atom are (1) 2434; (2) 0.

---

(1)
Compound: KBa2Al2
Source: Alexandria
Functional: PBE
Structure: relaxed

Calculated values
The density of states at the Fermi level is 0.922 states/eV per atom.

Cell lengths 4.0126, 4.0126, 27.1921 Å; angles 90.00, 90.00, 90.00 degrees
Space group I4/mmm (No. 139)
Symmetry-distinct sites (fractional):
K (0.0000, 0.0000, 0.0000)
Ba (0.0000, 0.0000, 0.3582)
Al (0.0000, 0.5000, 0.2500)

---

(2)
Compound: KBa2Al2
Source: Alexandria
Functional: PBE
Structure: relaxed

Calculated values
The density of states at the Fermi level is 1.195 states/eV per atom.

Cell lengths 9.7504, 9.7504, 4.3496 Å; angles 90.00, 90.00, 90.00 degrees
Space group P4/mbm (No. 127)
Symmetry-distinct sites (fractional):
K (0.0000, 0.0000, 0.0000)
Ba (0.1824, 0.3176, 0.5000)
Al (0.0994, 0.5994, 0.0000)

---

(3)
Compound: KBa2Al2
Source: Alexandria
Functional: PBE
Structure: relaxed

Calculated values
The density of states at the Fermi level is 0.782 states/eV per atom.

Cell lengths 6.5597, 6.5597, 10.1637 Å; angles 90.00, 90.00, 90.00 degrees
Space group I4/mmm (No. 139)
Symmetry-distinct sites (fractional):
K (0.0000, 0.0000, 0.0000)
Ba (0.0000, 0.5000, 0.2500)
Al (0.0000, 0.0000, 0.3757)

---

Taking the most stable structure as the zero point, the relative energies in meV per atom are (1) 90; (2) 0; (3) 64.

---

(1)
Compound: KBaAl2
Source: Alexandria
Functional: PBE
Structure: relaxed

Calculated values
The density of states at the Fermi level is 0.764 states/eV per atom.

Cell lengths 4.6628, 5.4707, 12.0000 Å; angles 90.00, 90.00, 90.00 degrees
Space group Amm2 (No. 38)
Symmetry-distinct sites (fractional):
K (0.0000, 0.0000, 0.0000)
Ba (0.5000, 0.0000, 0.7073)
Al (0.0000, 0.0000, 0.3038)
Al (0.5000, 0.0000, 0.3968)

---

(2)
Compound: KBaAl2
Source: Alexandria
Functional: PBE
Structure: relaxed

Calculated values
The density of states at the Fermi level is 1.056 states/eV per atom.

Cell lengths 8.2030, 8.2030, 8.2030 Å; angles 90.00, 90.00, 90.00 degrees
Space group Fm-3m (No. 225)
Symmetry-distinct sites (fractional):
K (0.0000, 0.0000, 0.0000)
Ba (0.0000, 0.0000, 0.5000)
Al (0.2500, 0.2500, 0.2500)

---

(3)
Compound: KBaAl2
Source: Alexandria
Functional: PBE
Structure: relaxed

Calculated values
The density of states at the Fermi level is 0.912 states/eV per atom.

Cell lengths 9.4545, 9.4545, 6.4934 Å; angles 90.00, 90.00, 90.00 degrees
Space group I-42d (No. 122)
Symmetry-distinct sites (fractional):
K (0.0000, 0.0000, 0.0000)
Ba (0.0000, 0.0000, 0.5000)
Al (0.2488, 0.2500, 0.1250)

---

Taking the most stable structure as the zero point, the relative energies in meV per atom are (1) 0; (2) 192; (3) 429.

---

(1)
Compound: KBaAl2
Source: Alexandria
Functional: PBE
Structure: relaxed

Calculated values
The density of states at the Fermi level is 0.735 states/eV per atom.

Cell lengths 3.6759, 3.8276, 10.2418 Å; angles 90.00, 90.00, 90.00 degrees
Space group Pmm2 (No. 25)
Symmetry-distinct sites (fractional):
K (0.0000, 0.0000, 0.0000)
Ba (0.5000, 0.5000, 0.5955)
Al (0.0000, 0.0000, 0.3598)
Al (0.5000, 0.5000, 0.2560)

---

(2)
Compound: KBaAl2
Source: Alexandria
Functional: PBE
Structure: relaxed

Calculated values
The density of states at the Fermi level is 0.997 states/eV per atom.

Cell lengths 4.6418, 4.6418, 27.7117 Å; angles 90.00, 90.00, 120.00 degrees
Space group R3m (No. 160, hexagonal axes)
Symmetry-distinct sites (fractional):
K (0.0000, 0.0000, 0.0000)
Ba (0.0000, 0.0000, 0.1741)
Al (0.0000, 0.0000, 0.4267)
Al (0.0000, 0.0000, 0.7601)

---

Taking the most stable structure as the zero point, the relative energies in meV per atom are (1) 171; (2) 0.

---

(1)
Compound: KBaAl
Source: Alexandria
Functional: PBE
Structure: relaxed

Calculated values
The density of states at the Fermi level is 0.718 states/eV per atom.

Cell lengths 7.9750, 4.6041, 16.7805 Å; angles 90.00, 90.01, 90.00 degrees
Space group Cm (No. 8)
Symmetry-distinct sites (fractional):
K (0.0000, 0.0000, 0.0000)
K (0.1671, 0.5000, 0.7668)
Ba (0.3316, 0.0000, 0.2399)
Ba (0.3317, 0.0000, 0.5268)
Al (0.1649, 0.5000, 0.3838)
Al (0.4983, 0.5000, 0.3829)

---

(2)
Compound: KBaAl
Source: Alexandria
Functional: PBE
Structure: relaxed

Calculated values
The density of states at the Fermi level is 1.069 states/eV per atom.

Cell lengths 8.4036, 8.4036, 8.4036 Å; angles 90.00, 90.00, 90.00 degrees
Space group F-43m (No. 216)
Symmetry-distinct sites (fractional):
K (0.0000, 0.0000, 0.0000)
Ba (0.0000, 0.0000, 0.5000)
Al (0.2500, 0.2500, 0.7500)

---

Taking the most stable structure as the zero point, the relative energies in meV per atom are (1) 0; (2) 381.

---

(1)
Compound: KBaAl
Source: Alexandria
Functional: PBE
Structure: relaxed

Calculated values
The density of states at the Fermi level is 0.949 states/eV per atom.

Cell lengths 5.0592, 25.4243, 4.6347 Å; angles 90.00, 90.00, 90.00 degrees
Space group Cmcm (No. 63)
Symmetry-distinct sites (fractional):
K (0.0000, 0.1896, 0.2500)
Ba (0.0000, 0.4279, 0.2500)
Al (0.0000, 0.0258, 0.2500)

---

(2)
Compound: KBaAl
Source: Alexandria
Functional: PBE
Structure: relaxed

Calculated values
The density of states at the Fermi level is 1.125 states/eV per atom.

Cell lengths 5.9575, 5.9575, 3.7299 Å; angles 90.00, 90.00, 120.00 degrees
Space group P3m1 (No. 156)
Symmetry-distinct sites (fractional):
K (0.0000, 0.0000, 0.0000)
Ba (0.3333, 0.6667, 0.6977)
Al (0.6667, 0.3333, 0.2733)

---

Taking the most stable structure as the zero point, the relative energies in meV per atom are (1) 0; (2) 342.